(1)
MgVH | PBE | relaxed

Geometry as extended XYZ:
```
6
Lattice="3.352 0.000 0.000 0.000 3.380 0.000 -0.217 0.000 6.621" Properties=species:S:1:pos:R:3 pbc="T T T"
Mg 0.734 0.845 2.376
Mg 2.400 2.535 4.244
V 0.747 0.845 6.019
V 2.387 2.535 0.602
H 0.510 2.535 6.574
H 2.625 0.845 0.047
```

Summary:
E_tot in eV per atom: -4.7148
V in Å³/cell: 75
Total magnetic moment in μB/f.u.: 0.000
Polymorph energy (0 for the lowest one) in kJ per mole of atoms: 0.00



(2)
MgVH | PBE | relaxed

Geometry as extended XYZ:
```
3
Lattice="0.000 3.098 3.098 3.098 0.000 3.098 3.098 3.098 0.000" Properties=species:S:1:pos:R:3 pbc="T T T"
Mg 0.000 0.000 0.000
V 1.549 1.549 1.549
H 4.647 4.647 4.647
```

Summary:
E_tot in eV per atom: -3.1144
V in Å³/cell: 59
Total magnetic moment in μB/f.u.: 4.147
Polymorph energy (0 for the lowest one) in kJ per mole of atoms: 154.42